Material: RbCaIrCl6
Method: DFT, PBE
State: optimized geometry

Cell: 6.7142 6.7142 7.3416 Å, 90.00 90.00 120.00°
Closest atoms and distances in Å follow each position.
Fractional coordinates of all 9 atoms:
Rb 0.0000 0.0000 0.0000  6 Cl 3.34
Ca 0.3333 0.6667 0.5000  6 Cl 2.75
Ir 0.6667 0.3333 0.5000  6 Cl 2.38
Cl 0.3850 0.0423 0.6909  1 Ir 2.38
Cl 0.3850 0.3427 0.3091  1 Ir 2.38
Cl 0.6573 0.0423 0.3091  1 Ir 2.38
Cl 0.6573 0.6150 0.6909  1 Ir 2.38
Cl 0.9577 0.3427 0.6909  1 Ir 2.38
Cl 0.9577 0.6150 0.3091  1 Ir 2.38

- M_tot (μB per cell) = 0.0
- mass density (kg/m3) = 3073
- E_form (uncorrected) (eV per formula unit) = -13.0
- space-group type = No. 149